## K2CdHg10 (PBE-GGA)

Data for a geometry-optimized K2CdHg10 structure.

Cell lengths 6.280, 13.539, 11.371 Å; angles 90.00, 90.00, 90.00 degrees
Atoms (fractional coordinates):
K: 0.500 0.355 0.865
K: 0.500 0.645 0.135
K: 0.500 0.855 0.635
K: 0.500 0.145 0.365
Cd: 0.000 0.500 0.500
Cd: 0.000 0.000 0.000
Hg: 0.000 0.115 0.532
Hg: 0.000 0.885 0.468
Hg: 0.000 0.615 0.968
Hg: 0.000 0.385 0.032
Hg: 0.000 0.197 0.806
Hg: 0.000 0.803 0.194
Hg: 0.261 0.183 0.074
Hg: 0.261 0.817 0.926
Hg: 0.739 0.683 0.426
Hg: 0.739 0.317 0.574
Hg: 0.739 0.817 0.926
Hg: 0.739 0.183 0.074
Hg: 0.261 0.317 0.574
Hg: 0.261 0.683 0.426
Hg: 0.000 0.041 0.264
Hg: 0.000 0.959 0.736
Hg: 0.000 0.541 0.236
Hg: 0.000 0.459 0.764
Hg: 0.000 0.303 0.306
Hg: 0.000 0.697 0.694

Calculated values
Formation energy ... -73 meV/atom
Space group ... Pbam, No. 55
Magnetization ... 0.00 Bohr magnetons per cell


## PmSi2TcW (PBE-GGA)

Data for a geometry-optimized PmSi2TcW structure.

Cell lengths 4.035, 4.035, 6.192 Å; angles 109.02, 109.02, 90.00 degrees
Atoms (fractional coordinates):
Pm: 0.000 0.000 0.000
Si: 0.614 0.614 0.227
Si: 0.386 0.386 0.773
Tc: 0.750 0.250 0.500
W: 0.250 0.750 0.500

Calculated values
Space group ... I-4m2, No. 119
ΔE_f (raw) ... -10.83 kcal/mol of atoms
Magnetization ... 0.00 Bohr magnetons per cell


> What is the magnetization in the second record?

0.00 Bohr magnetons per cell